No. 1
The following is a PBE calculation of an optimized crystal structure of La2UTe5, from Alexandria.

Unit cell a=4.514 b=8.786 c=13.590 alpha=90.00 beta=90.00 gamma=90.00
Site moments in Bohr magnetons follow the coordinates.
Positions (direct):
La 0.500 0.536 0.175  0.00
La 0.500 0.464 0.825  0.00
La 0.500 0.964 0.675  0.00
La 0.500 0.036 0.325  0.00
U 0.000 0.500 0.500  -2.21
U 0.000 0.000 0.000  -2.21
Te 0.000 0.000 0.500  0.04
Te 0.000 0.500 0.000  0.04
Te 0.000 0.828 0.199  0.03
Te 0.000 0.172 0.801  0.03
Te 0.000 0.672 0.699  0.03
Te 0.000 0.328 0.301  0.03
Te 0.500 0.676 0.403  0.07
Te 0.500 0.324 0.597  0.07
Te 0.500 0.824 0.903  0.07
Te 0.500 0.176 0.097  0.07

Results
Crystal system   orthorhombic
Calculated density   7.11 g/cm3
SG   No. 55
E above lowest polymorph   4 meV per atom
Uncorrected formation energy   -1.19 eV/atom

***

No. 2
The following is a PBE calculation of an optimized crystal structure of La2UTe5, from Alexandria.

Unit cell a=10.014 b=10.014 c=8.963 alpha=89.30 beta=89.30 gamma=36.50
Site moments in Bohr magnetons follow the coordinates.
Positions (direct):
La 0.746 0.751 0.731  -0.01
La 0.404 0.420 0.738  -0.01
La 0.249 0.254 0.269  -0.01
La 0.580 0.596 0.262  -0.01
U 0.101 0.063 0.737  -2.53
U 0.937 0.899 0.263  -2.53
Te 0.752 0.758 0.361  0.02
Te 0.077 0.085 0.372  0.03
Te 0.429 0.405 0.360  0.04
Te 0.242 0.248 0.639  0.02
Te 0.595 0.571 0.640  0.04
Te 0.915 0.923 0.628  0.03
Te 0.414 0.949 0.997  0.03
Te 0.757 0.243 0.000  0.02
Te 0.051 0.586 0.003  0.03
Te 0.252 0.748 0.000  0.04

Results
Crystal system   monoclinic
Calculated density   7.17 g/cm3
SG   No. 5
E above lowest polymorph   0 meV per atom
Uncorrected formation energy   -1.20 eV/atom

***

no.,electronic total energy (eV/atom)
1,-5.80
2,-5.80